Material: CoBAs2O6
Method: DFT, GGA+U
State: relaxed

Cell lengths 8.6232, 8.6232, 4.7486 Å; angles 104.87, 104.87, 53.72 degrees
Fractional coordinates of all 20 atoms:
Co: 0.1026 0.8974 0.7500
Co: 0.8974 0.1026 0.2500
B: 0.2034 0.7966 0.2500
B: 0.7966 0.2034 0.7500
As: 0.1901 0.4781 0.8570
As: 0.4781 0.1901 0.3570
As: 0.5219 0.8099 0.6430
As: 0.8099 0.5219 0.1430
O: 0.0242 0.8487 0.3429
O: 0.1513 0.9758 0.1571
O: 0.2535 0.6580 0.9744
O: 0.2613 0.4135 0.4949
O: 0.3420 0.7465 0.5256
O: 0.4135 0.2613 0.9949
O: 0.5865 0.7387 0.0051
O: 0.6580 0.2535 0.4744
O: 0.7387 0.5865 0.5051
O: 0.7465 0.3420 0.0256
O: 0.8487 0.0242 0.8429
O: 0.9758 0.1513 0.6571

Properties
As for the calculated volume: 13.631 A^3/atom. The calculation puts the magnetization at 0.133 μB per cell. Its total energy is -128.70 eV for the cell shown. The space-group type is C2/c.